PBE BaNp4S8, relaxed; electronic total energy = -105.79 eV for the cell shown
1.0
-4.691 6.589 3.415
2.979 8.072 1.745
-2.333 7.360 -4.178
S Np Ba
8 4 1
direct
0.233 0.729 0.233
0.767 0.271 0.767
0.272 0.272 0.272
0.728 0.728 0.728
0.233 0.233 0.729
0.271 0.767 0.767
0.767 0.767 0.271
0.729 0.233 0.233
0.000 0.000 0.000
0.500 0.000 0.500
0.500 0.500 0.000
0.000 0.500 0.500
0.500 0.500 0.500